Density functional theory data (PBE) for a relaxed Rb4GaPb4 crystal.

Summary:
Fermi-level density of states: 0.599 states/eV per atom
DFT total energy: -2.453 eV/atom
Calculated volume: 416.8 Å³/cell
Formation enthalpy at 0 K: -0.04 eV/atom

Geometry as extended XYZ:
```
9
Lattice="-4.316 0.565 -5.019 -5.103 -3.959 8.339 -3.027 4.995 3.165" Properties=species:S:1:pos:R:3 pbc="T T T"
Pb -7.991 0.296 8.731
Pb -5.713 3.381 -0.931
Rb -5.139 2.020 2.606
Rb -5.829 -0.354 -1.781
Rb -4.994 -0.722 6.570
Rb -8.930 2.258 5.576
Pb -2.662 1.070 -0.160
Ga 0.000 0.000 0.000
Pb -8.526 -1.545 5.330
```